Entry from Alexandria: crystalline La8Ru3Br3N at its relaxed geometry (PBE).

Geometry as POSCAR:
```
La8Ru3Br3N
1.0
7.065 -4.081 0.000
7.065 4.081 0.000
-4.719 0.000 7.954
La Ru Br N
8 3 3 1
direct
0.218 0.218 0.682
0.219 0.745 0.682
0.255 0.781 0.318
0.265 0.265 0.296
0.735 0.735 0.704
0.745 0.219 0.682
0.781 0.255 0.318
0.782 0.782 0.318
0.000 0.500 0.500
0.500 0.000 0.500
0.500 0.500 0.500
0.000 0.000 0.000
0.000 0.500 0.000
0.500 0.000 0.000
0.000 0.000 0.500
```

Computed properties:
Spin magnetization (μB/atom): 0.06
Formation energy (no corrections) (eV per atom): -0.863
VASP energy (eV for the cell shown): -93.5